1.
# La2ThIn2Ag2

An optimized crystal structure of La2ThIn2Ag2 (PBE, the Alexandria database).

Geometry as POSCAR:
```
La2ThIn2Ag2
1.0
2.457 1.419 9.256
-2.457 1.419 9.256
0.000 -2.837 9.256
La Th In Ag
2 1 2 2
Cartesian
0.000 0.000 3.582 La
0.000 0.000 24.185 La
0.000 0.000 0.000 Th
0.000 0.000 7.375 In
0.000 0.000 20.392 In
0.000 0.000 10.947 Ag
0.000 0.000 16.820 Ag
```

- DOS at the Fermi energy: 4.2 states/eV/cell
- E_form: -0.265 eV/atom
- Total magnetization: 0.00 μB/cell
- Space group: R-3m, No. 166


2.
# LaThInAg

An optimized crystal structure of LaThInAg (PBE, the Alexandria database).

Geometry as POSCAR:
```
LaThInAg
1.0
0.000 3.855 3.855
3.855 0.000 3.855
3.855 3.855 0.000
La Th In Ag
1 1 1 1
Cartesian
0.000 0.000 0.000 La
3.855 3.855 3.855 Th
5.783 5.783 5.783 In
1.928 1.928 1.928 Ag
```

- DOS at the Fermi energy: 5.2 states/eV/cell
- E_form: -0.219 eV/atom
- Total magnetization: 0.02 μB/cell
- Space group: F-43m, No. 216


3.
# La4Tl2InAg

An optimized crystal structure of La4Tl2InAg (PBE, the Alexandria database).

Geometry as POSCAR:
```
La4Tl2InAg
1.0
2.780 1.605 9.157
-2.780 1.605 9.157
0.000 -3.210 9.157
La Tl In Ag
4 2 1 1
Cartesian
0.000 0.000 3.350 La
0.000 0.000 10.216 La
0.000 0.000 17.256 La
0.000 0.000 24.122 La
0.000 0.000 6.843 Tl
0.000 0.000 20.629 Tl
0.000 0.000 13.736 In
0.000 0.000 0.000 Ag
```

- DOS at the Fermi energy: 9.9 states/eV/cell
- E_form: -0.393 eV/atom
- Total magnetization: 1.07 μB/cell
- Space group: R-3m, No. 166


4.
# LaTm2In2Ag2

An optimized crystal structure of LaTm2In2Ag2 (PBE, the Alexandria database).

Geometry as POSCAR:
```
LaTm2In2Ag2
1.0
2.447 1.413 8.819
-2.447 1.413 8.819
0.000 -2.826 8.819
La Tm In Ag
1 2 2 2
Cartesian
0.000 0.000 0.000 La
0.000 0.000 3.504 Tm
0.000 0.000 22.954 Tm
0.000 0.000 6.810 In
0.000 0.000 19.648 In
0.000 0.000 11.396 Ag
0.000 0.000 15.062 Ag
```

- DOS at the Fermi energy: 5.6 states/eV/cell
- E_form: -0.308 eV/atom
- Total magnetization: 0.00 μB/cell
- Space group: R-3m, No. 166


5.
# LaYInAg

An optimized crystal structure of LaYInAg (PBE, the Alexandria database).

Geometry as POSCAR:
```
LaYInAg
1.0
0.000 3.821 3.821
3.821 0.000 3.821
3.821 3.821 0.000
La Y In Ag
1 1 1 1
Cartesian
0.000 0.000 0.000 La
3.821 3.821 3.821 Y
5.731 5.731 5.731 In
1.910 1.910 1.910 Ag
```

- DOS at the Fermi energy: 3.7 states/eV/cell
- E_form: -0.390 eV/atom
- Total magnetization: 0.08 μB/cell
- Space group: F-43m, No. 216


6.
# LaY2In2Ag2

An optimized crystal structure of LaY2In2Ag2 (PBE, the Alexandria database).

Geometry as POSCAR:
```
LaY2In2Ag2
1.0
2.448 1.414 9.170
-2.448 1.414 9.170
0.000 -2.827 9.170
La Y In Ag
1 2 2 2
Cartesian
0.000 0.000 0.000 La
0.000 0.000 3.518 Y
0.000 0.000 23.993 Y
0.000 0.000 7.031 In
0.000 0.000 20.479 In
0.000 0.000 11.263 Ag
0.000 0.000 16.247 Ag
```

- DOS at the Fermi energy: 4.5 states/eV/cell
- E_form: -0.327 eV/atom
- Total magnetization: 0.00 μB/cell
- Space group: R-3m, No. 166